Material: Dy2LuPt
Method: DFT, PBE-GGA
State: relaxed

The value obtained for the calculated density is 10.05 g cm⁻³. The crystal system is trigonal. The formation energy comes out at -477 meV/atom. Its space group is No. 166. As for the offset from the most stable computed form: 0.0964 eV per atom. As for the calculated volume: 28.703 Å³/atom. The value obtained for the density of states at the Fermi level is 4.0 states/eV/cell.

abc: 9.6657 9.6657 9.6657
angles: 22.38 22.38 22.38
Closest atoms and distances in Å follow each position.
Element x y z (fractional)
Dy 0.2305 0.2305 0.2305  3 Pt 2.82
Dy 0.7695 0.7695 0.7695  3 Pt 2.82
Lu 0.0000 0.0000 0.0000  6 Dy 3.62, 6 Lu 3.75
Pt 0.5000 0.5000 0.5000  6 Dy 2.82